Density functional theory data (PBE-GGA) for a relaxed KInSi2 crystal.

The calculation puts the volume at 95 Å³/f.u. Its energy relative to the elements, uncorrected is 0.52 eV per atom.

Structure (POSCAR):
```
KInSi2
1.0
3.2195 0.0413 0.0000
-0.5322 3.1755 0.0000
0.0000 0.0000 9.2560
In K Si
1 1 2
Direct
0.5000 0.5000 0.2500
0.5000 0.5000 0.7500
0.0000 0.0000 0.0357
0.0000 0.0000 0.4643
```


Density functional theory data (PBE-GGA) for a relaxed Ho5TcAg4 crystal.

The calculation puts the volume at 229 Å³/f.u. The value obtained for the formation energy is -270 meV/atom.

Structure (POSCAR):
```
Ho5TcAg4
1.0
-2.5147 2.3221 0.8851
0.0500 -1.2116 3.3209
12.8638 12.2944 4.2921
Ho Tc Ag
5 1 4
Direct
0.5000 0.5000 0.0880
0.5000 0.5000 0.2963
0.5000 0.5000 0.5000
0.5000 0.5000 0.7037
0.5000 0.5000 0.9120
0.0000 0.0000 0.0000
0.0000 0.0000 0.1936
0.0000 0.0000 0.3989
0.0000 0.0000 0.6011
0.0000 0.0000 0.8064
```